[1]
# ThTiCo (PBE, optimized geometry)
data_ThTiCo
_chemical_formula_sum 'Th2 Ti2 Co2'
_cell_length_a 4.291
_cell_length_b 4.306
_cell_length_c 6.425
_cell_angle_alpha 92.87
_cell_angle_beta 90.00
_cell_angle_gamma 90.00
_space_group_name_H-M_alt 'P 1'
_space_group_IT_number 1
loop_
_space_group_symop_operation_xyz
'x,y,z'
loop_
_atom_site_label
_atom_site_fract_x
_atom_site_fract_y
_atom_site_fract_z
Co1 0.814 0.893 0.116
Ti1 0.814 0.373 0.920
Th1 0.814 0.863 0.547
Th2 0.314 0.371 0.293
Co2 0.313 0.339 0.724
Ti2 0.314 0.860 0.920
# **Formation energy from the elements**: -239.5 meV per atom
# **Energy above the most stable polymorph in this dataset**: 0.000 eV/atom
# **M_tot**: 0.0 μB per formula unit



[2]
# ThTi2Co (PBE, optimized geometry)
data_ThTi2Co
_chemical_formula_sum 'Th2 Ti4 Co2'
_cell_length_a 4.386
_cell_length_b 5.599
_cell_length_c 6.760
_cell_angle_alpha 90.00
_cell_angle_beta 90.00
_cell_angle_gamma 113.10
_space_group_name_H-M_alt 'P 1'
_space_group_IT_number 1
loop_
_space_group_symop_operation_xyz
'x,y,z'
loop_
_atom_site_label
_atom_site_fract_x
_atom_site_fract_y
_atom_site_fract_z
Ti1 0.653 0.306 0.042
Co1 0.789 0.579 0.750
Th1 0.951 0.901 0.250
Ti2 0.653 0.306 0.458
Co2 0.211 0.421 0.250
Th2 0.049 0.099 0.750
Ti3 0.347 0.694 0.958
Ti4 0.347 0.694 0.542
# **Formation energy from the elements**: -138.7 meV per atom
# **M_tot**: 0.0 μB per formula unit



[3]
# Th2TiCo (PBE, optimized geometry)
data_Th2TiCo
_chemical_formula_sum 'Th2 Ti1 Co1'
_cell_length_a 3.592
_cell_length_b 3.592
_cell_length_c 9.577
_cell_angle_alpha 79.19
_cell_angle_beta 79.19
_cell_angle_gamma 60.00
_space_group_name_H-M_alt 'P 1'
_space_group_IT_number 1
loop_
_space_group_symop_operation_xyz
'x,y,z'
loop_
_atom_site_label
_atom_site_fract_x
_atom_site_fract_y
_atom_site_fract_z
Co1 0.500 0.500 0.500
Ti1 0.000 0.000 0.000
Th1 0.895 0.895 0.315
Th2 0.105 0.105 0.685
# **Formation energy from the elements**: 445.9 meV per atom
# **M_tot**: 1.7 μB per formula unit



[4]
# ThTiCo2 (PBE, optimized geometry)
data_ThTiCo2
_chemical_formula_sum 'Th1 Ti1 Co2'
_cell_length_a 4.061
_cell_length_b 4.061
_cell_length_c 5.462
_cell_angle_alpha 68.18
_cell_angle_beta 68.18
_cell_angle_gamma 60.00
_space_group_name_H-M_alt 'P 1'
_space_group_IT_number 1
loop_
_space_group_symop_operation_xyz
'x,y,z'
loop_
_atom_site_label
_atom_site_fract_x
_atom_site_fract_y
_atom_site_fract_z
Co1 0.714 0.714 0.859
Co2 0.286 0.286 0.141
Th1 0.500 0.500 0.500
Ti1 0.000 0.000 0.000
# **Formation energy from the elements**: -268.9 meV per atom
# **M_tot**: 0.0 μB per formula unit



[5]
# ThTiCo (PBE, optimized geometry)
data_ThTiCo
_chemical_formula_sum 'Th1 Ti1 Co1'
_cell_length_a 4.386
_cell_length_b 4.047
_cell_length_c 4.047
_cell_angle_alpha 120.00
_cell_angle_beta 90.00
_cell_angle_gamma 90.00
_space_group_name_H-M_alt 'P 1'
_space_group_IT_number 1
loop_
_space_group_symop_operation_xyz
'x,y,z'
loop_
_atom_site_label
_atom_site_fract_x
_atom_site_fract_y
_atom_site_fract_z
Co1 0.214 0.667 0.333
Th1 0.645 0.333 0.667
Ti1 0.141 0.000 0.000
# **Formation energy from the elements**: -81.7 meV per atom
# **Energy above the most stable polymorph in this dataset**: 0.158 eV/atom
# **M_tot**: 0.0 μB per formula unit



[6]
# ThTi2Co2 (PBE, optimized geometry)
data_ThTi2Co2
_chemical_formula_sum 'Th1 Ti2 Co2'
_cell_length_a 4.158
_cell_length_b 4.158
_cell_length_c 5.850
_cell_angle_alpha 110.82
_cell_angle_beta 110.82
_cell_angle_gamma 90.00
_space_group_name_H-M_alt 'P 1'
_space_group_IT_number 1
loop_
_space_group_symop_operation_xyz
'x,y,z'
loop_
_atom_site_label
_atom_site_fract_x
_atom_site_fract_y
_atom_site_fract_z
Ti1 0.250 0.750 0.500
Co1 0.620 0.620 0.241
Th1 0.000 0.000 0.000
Ti2 0.750 0.250 0.500
Co2 0.380 0.380 0.759
# **Formation energy from the elements**: -311.7 meV per atom
# **M_tot**: 0.0 μB per formula unit